1.
Here is an optimized crystal structure of TbPm6Y2Sc from Alexandria. Energies are from GGA-PBE.

* VASP energy: -5.1097 eV per atom
* volume: 660 Å³/cell
* magnetic moment: 0.00 μB/f.u.

Cell and atoms, written as POSCAR:
```
TbPm6Y2Sc
1.0
-5.354 -5.532 5.162
7.501 -2.875 3.983
-3.806 7.422 3.290
Sc Pm Y Tb
2 12 4 2
Cartesian
-1.294 -2.671 7.562
-0.365 1.687 4.874
-1.014 -5.631 5.955
-2.379 0.547 7.398
-4.601 -1.889 7.458
-0.644 4.647 6.481
-3.224 1.585 3.074
0.720 -1.531 5.039
-4.027 3.391 6.094
2.942 0.905 4.978
2.369 -4.375 6.342
1.565 -2.569 9.362
-2.310 5.089 3.310
0.652 -6.074 9.126
-2.552 -1.371 4.681
1.235 0.385 2.168
-2.893 -1.369 10.269
0.893 0.386 7.755
-7.480 2.962 7.183
5.821 -3.946 5.253
```

***

2.
Here is an optimized crystal structure of ScCrPb from Alexandria. Energies are from GGA-PBE.

* VASP energy: -6.2114 eV per atom
* volume: 66 Å³/cell
* magnetic moment: 2.68 μB/f.u.

Cell and atoms, written as POSCAR:
```
ScCrPb
1.0
-0.200 2.078 -2.552
0.712 -3.178 -0.514
-6.861 -1.436 -0.632
Pb Cr Sc
1 1 1
Cartesian
-2.075 -0.130 -2.073
-6.805 -1.424 -0.627
-4.330 -2.417 -1.630
```